# 1
The following is a PBE calculation of a relaxed structure of CsBa2SmCl8, from the Alexandria database.

a b c (Å): 5.5994 7.3212 10.1415
angles (deg): 90.00 90.00 99.31
Atoms (fractional coordinates):
Cs: 0.0000 0.0000 0.5000
Ba: 0.5000 0.5000 0.7510
Ba: 0.5000 0.5000 0.2490
Sm: 0.0000 0.0000 0.0000
Cl: 0.0378 0.7535 0.2027
Cl: 0.5494 0.7782 0.0000
Cl: 0.9621 0.2465 0.2027
Cl: 0.9622 0.2465 0.7973
Cl: 0.4506 0.2218 0.0000
Cl: 0.0379 0.7535 0.7973
Cl: 0.4517 0.7277 0.5000
Cl: 0.5483 0.2723 0.5000

Properties
Its total DFT energy (no corrections) is -52.17 eV/f.u. The symmetry is P2/m (10).

# 2
The following is a PBE calculation of a relaxed structure of CsBaSmCl6, from the Alexandria database.

a b c (Å): 7.8053 7.8053 14.3429
angles (deg): 90.00 90.00 120.00
Atoms (fractional coordinates):
Cs: 0.0000 0.0000 0.0000
Cs: 0.0000 0.0000 0.5000
Ba: 0.3333 0.6667 0.2500
Ba: 0.6667 0.3333 0.7500
Sm: 0.6667 0.3333 0.2500
Sm: 0.3333 0.6667 0.7500
Cl: 0.6437 0.6083 0.1420
Cl: 0.9647 0.3563 0.1420
Cl: 0.3563 0.9647 0.6420
Cl: 0.0353 0.6437 0.8580
Cl: 0.3917 0.3563 0.3580
Cl: 0.9647 0.6083 0.3580
Cl: 0.6083 0.9647 0.8580
Cl: 0.6437 0.0353 0.3580
Cl: 0.0353 0.3917 0.6420
Cl: 0.3917 0.0353 0.1420
Cl: 0.6083 0.6437 0.6420
Cl: 0.3563 0.3917 0.8580

Properties
Its total DFT energy (no corrections) is -39.45 eV/f.u. The symmetry is P-31c (163).

# 3
The following is a PBE calculation of a relaxed structure of Cs3BaSn2Cl9, from the Alexandria database.

a b c (Å): 8.0591 8.0591 10.3643
angles (deg): 90.00 90.00 120.00
Atoms (fractional coordinates):
Cs: 0.3333 0.6667 0.7244
Cs: 0.0000 0.0000 0.0000
Cs: 0.6667 0.3333 0.2756
Ba: 0.0000 0.0000 0.5000
Sn: 0.3333 0.6667 0.1635
Sn: 0.6667 0.3333 0.8365
Cl: 0.8318 0.1682 0.6857
Cl: 0.8318 0.6637 0.6857
Cl: 0.3363 0.1682 0.6857
Cl: 0.6637 0.8318 0.3143
Cl: 0.1682 0.3363 0.3143
Cl: 0.1682 0.8318 0.3143
Cl: 0.5000 0.0000 0.0000
Cl: 0.0000 0.5000 0.0000
Cl: 0.5000 0.5000 0.0000

Properties
Its total DFT energy (no corrections) is -54.77 eV/f.u. The symmetry is P-3m1 (164).

# 4
The following is a PBE calculation of a relaxed structure of Cs2BaSrCl6, from the Alexandria database.

a b c (Å): 8.0926 8.3284 11.5570
angles (deg): 90.00 90.22 90.00
Atoms (fractional coordinates):
Cs: 0.0167 0.9475 0.2501
Cs: 0.5167 0.5525 0.7501
Cs: 0.9833 0.0525 0.7499
Cs: 0.4833 0.4475 0.2499
Ba: 0.5000 0.0000 0.0000
Ba: 0.0000 0.5000 0.5000
Sr: 0.5000 0.0000 0.5000
Sr: 0.0000 0.5000 0.0000
Cl: 0.2859 0.7021 0.0462
Cl: 0.7859 0.7979 0.5462
Cl: 0.7141 0.2979 0.9538
Cl: 0.2141 0.2021 0.4538
Cl: 0.3008 0.7158 0.4515
Cl: 0.8008 0.7842 0.9515
Cl: 0.6992 0.2842 0.5485
Cl: 0.1992 0.2158 0.0485
Cl: 0.9105 0.5296 0.2424
Cl: 0.4105 0.9704 0.7424
Cl: 0.0895 0.4704 0.7576
Cl: 0.5895 0.0296 0.2576

Properties
The value obtained for the excess energy over the best structure of this formula in the dataset is 0 meV/atom. The symmetry is P2_1/c (14).

# 5
The following is a PBE calculation of a relaxed structure of Cs2BaSrCl6, from the Alexandria database.

a b c (Å): 8.3258 8.3258 8.3257
angles (deg): 60.00 60.00 90.00
Atoms (fractional coordinates):
Cs: 0.7500 0.2500 0.5000
Cs: 0.2500 0.7500 0.5000
Sr: 0.5000 0.5000 0.0000
Ba: 0.0000 0.0000 0.0000
Cl: 0.2566 0.2566 0.4867
Cl: 0.7434 0.7434 0.5133
Cl: 0.2566 0.2566 0.0000
Cl: 0.7434 0.7434 0.0000
Cl: 0.7434 0.2566 0.0000
Cl: 0.2566 0.7434 0.0000

Properties
The value obtained for the excess energy over the best structure of this formula in the dataset is 28 meV/atom. The symmetry is Fm-3m (225).

# 6
The following is a PBE calculation of a relaxed structure of Cs2BaTaCl6, from the Alexandria database.

a b c (Å): 7.8577 7.8577 7.8578
angles (deg): 60.00 60.00 90.00
Atoms (fractional coordinates):
Cs: 0.7500 0.2500 0.5000
Cs: 0.2500 0.7500 0.5000
Cl: 0.2289 0.2289 0.5422
Cl: 0.7711 0.7711 0.4578
Cl: 0.2289 0.2289 0.0000
Cl: 0.7711 0.7711 0.0000
Cl: 0.7711 0.2289 0.0000
Cl: 0.2289 0.7711 0.0000
Ba: 0.5000 0.5000 0.0000
Ta: 0.0000 0.0000 0.0000

Properties
Its total DFT energy (no corrections) is -43.00 eV/f.u. The symmetry is Fm-3m (225).

Number 6 is which compound? Cs2BaTaCl6